MnIrCl2: optimized geometry, GGA-PBE.

Properties
formation energy without anion corrections: 0.3534 eV per atom
crystal system: orthorhombic
electronic total energy: -20.3 eV per cell
ΔE to the lowest computed polymorph: 437 meV/atom

a = 3.0058 Å, b = 4.0716 Å, c = 5.6759 Å
α = 90.00°, β = 90.00°, γ = 90.00°
With the nearest neighbours (Å) after each atom.
Element x y z (fractional)
Mn: 0.0000 0.0000 0.0000  4 Cl 2.53
Ir: 0.5000 0.0000 0.5000  4 Cl 2.53
Cl: 0.0000 0.5000 0.5000  4 Ir 2.53
Cl: 0.5000 0.5000 0.0000  4 Mn 2.53

=====

MnIrCl2: optimized geometry, GGA-PBE.

Properties
formation energy without anion corrections: 0.4065 eV per atom
crystal system: trigonal
electronic total energy: -20.1 eV per cell
ΔE to the lowest computed polymorph: 490 meV/atom

a = 7.6884 Å, b = 7.6884 Å, c = 7.6884 Å
α = 23.09°, β = 23.09°, γ = 23.09°
With the nearest neighbours (Å) after each atom.
Element x y z (fractional)
Mn: 0.0000 0.0000 0.0000  6 Cl 2.29
Ir: 0.5000 0.5000 0.5000  2 Cl 2.29
Cl: 0.3978 0.3978 0.3978  3 Mn 2.29, 1 Ir 2.29
Cl: 0.6022 0.6022 0.6022  3 Mn 2.29, 1 Ir 2.29

=====

MnIr2Cl: optimized geometry, GGA-PBE.

Properties
formation energy without anion corrections: 0.7949 eV per atom
crystal system: orthorhombic
electronic total energy: -25.6 eV per cell
ΔE to the lowest computed polymorph: 578 meV/atom

a = 4.6672 Å, b = 4.6672 Å, c = 2.8468 Å
α = 90.00°, β = 90.00°, γ = 105.36°
With the nearest neighbours (Å) after each atom.
Element x y z (fractional)
Mn: 0.0000 0.0000 0.0000  8 Ir 2.73, 2 Cl 2.83, 2 Mn 2.85
Ir: 0.0000 0.5000 0.5000  4 Mn 2.73, 4 Cl 2.73, 4 Ir 2.83-2.85
Ir: 0.5000 0.0000 0.5000  4 Mn 2.73, 4 Cl 2.73, 4 Ir 2.83-2.85
Cl: 0.5000 0.5000 0.0000  8 Ir 2.73, 2 Mn 2.83, 2 Cl 2.85

=====

MnIr2Cl: optimized geometry, GGA-PBE.

Properties
formation energy without anion corrections: 0.3220 eV per atom
crystal system: orthorhombic
electronic total energy: -27.5 eV per cell
ΔE to the lowest computed polymorph: 105 meV/atom

a = 2.8742 Å, b = 3.7154 Å, c = 7.1740 Å
α = 90.00°, β = 90.00°, γ = 90.00°
With the nearest neighbours (Å) after each atom.
Element x y z (fractional)
Mn: 0.0000 0.0000 0.0000  5 Ir 2.68-2.93, 4 Cl 2.74, 2 Mn 2.87
Ir: 0.0000 0.0000 0.6264  4 Ir 2.53, 1 Mn 2.68
Ir: 0.5000 0.5000 0.7563  4 Ir 2.53
Cl: 0.5000 0.5000 0.1966  4 Mn 2.74, 2 Cl 2.87

=====

MnIr2Cl: optimized geometry, GGA-PBE.

Properties
formation energy without anion corrections: 0.9035 eV per atom
crystal system: tetragonal
electronic total energy: -25.1 eV per cell
ΔE to the lowest computed polymorph: 687 meV/atom

a = 3.9307 Å, b = 3.9307 Å, c = 3.9826 Å
α = 90.00°, β = 90.00°, γ = 90.00°
With the nearest neighbours (Å) after each atom.
Element x y z (fractional)
Mn: 0.0000 0.0000 0.0000  4 Cl 2.78, 8 Ir 2.80
Ir: 0.0000 0.5000 0.5000  4 Ir 2.78, 4 Cl 2.80, 4 Mn 2.80
Ir: 0.5000 0.0000 0.5000  4 Ir 2.78, 4 Cl 2.80, 4 Mn 2.80
Cl: 0.5000 0.5000 0.0000  4 Mn 2.78, 8 Ir 2.80

=====

MnIr2Cl: optimized geometry, GGA-PBE.

Properties
formation energy without anion corrections: 0.2169 eV per atom
crystal system: monoclinic
electronic total energy: -27.9 eV per cell
ΔE to the lowest computed polymorph: 0 meV/atom

a = 4.6026 Å, b = 4.6026 Å, c = 6.5246 Å
α = 92.54°, β = 92.54°, γ = 36.19°
With the nearest neighbours (Å) after each atom.
Element x y z (fractional)
Mn: 0.0000 0.0000 0.0000  2 Cl 2.36, 2 Ir 2.59
Ir: 0.4498 0.4498 0.3206  3 Ir 2.47-2.56, 1 Cl 2.56, 2 Mn 2.59
Ir: 0.7168 0.7168 0.2155  3 Ir 2.47-2.56, 2 Mn 2.71
Cl: 0.4736 0.4736 0.7126  2 Mn 2.36, 1 Ir 2.56

=====

MnIrCl: optimized geometry, GGA-PBE.

Properties
formation energy without anion corrections: 0.7183 eV per atom
crystal system: cubic
electronic total energy: -17.7 eV per cell
ΔE to the lowest computed polymorph: 633 meV/atom

a = 4.2671 Å, b = 4.2671 Å, c = 4.2671 Å
α = 60.00°, β = 60.00°, γ = 60.00°
With the nearest neighbours (Å) after each atom.
Element x y z (fractional)
Mn: 0.0000 0.0000 0.0000  4 Ir 2.61
Ir: 0.2500 0.2500 0.2500  4 Mn 2.61, 4 Cl 2.61
Cl: 0.5000 0.5000 0.5000  4 Ir 2.61

=====

MnIrCl: optimized geometry, GGA-PBE.

Properties
formation energy without anion corrections: 1.1251 eV per atom
crystal system: cubic
electronic total energy: -16.5 eV per cell
ΔE to the lowest computed polymorph: 1040 meV/atom

a = 4.1723 Å, b = 4.1723 Å, c = 4.1723 Å
α = 60.00°, β = 60.00°, γ = 60.00°
With the nearest neighbours (Å) after each atom.
Element x y z (fractional)
Mn: 0.0000 0.0000 0.0000  4 Cl 2.55
Ir: 0.5000 0.5000 0.5000  4 Cl 2.55
Cl: 0.2500 0.2500 0.2500  4 Mn 2.55, 4 Ir 2.55

=====

MnIr2Cl: optimized geometry, GGA-PBE.

Properties
formation energy without anion corrections: 0.3804 eV per atom
crystal system: orthorhombic
electronic total energy: -27.2 eV per cell
ΔE to the lowest computed polymorph: 163 meV/atom

a = 2.8241 Å, b = 2.8241 Å, c = 9.6805 Å
α = 90.00°, β = 90.00°, γ = 119.76°
With the nearest neighbours (Å) after each atom.
Element x y z (fractional)
Mn: 0.0000 0.0000 0.0000  2 Cl 2.32, 2 Ir 2.53
Ir: 0.0000 0.0000 0.4522  8 Ir 2.69-2.83
Ir: 0.5000 0.5000 0.2163  2 Mn 2.53, 6 Ir 2.69-2.82
Cl: 0.5000 0.5000 0.8108  2 Mn 2.32

=====

MnIr2Cl: optimized geometry, GGA-PBE.

Properties
formation energy without anion corrections: 0.3195 eV per atom
crystal system: trigonal
electronic total energy: -27.5 eV per cell
ΔE to the lowest computed polymorph: 103 meV/atom

a = 8.5115 Å, b = 8.5115 Å, c = 8.5115 Å
α = 19.52°, β = 19.52°, γ = 19.52°
With the nearest neighbours (Å) after each atom.
Element x y z (fractional)
Mn: 0.0000 0.0000 0.0000  6 Ir 2.54
Ir: 0.2568 0.2568 0.2568  3 Mn 2.54, 3 Cl 2.81
Ir: 0.7432 0.7432 0.7432  3 Mn 2.54, 3 Cl 2.81
Cl: 0.5000 0.5000 0.5000  6 Ir 2.81, 6 Cl 2.89

=====

MnIr2Cl: optimized geometry, GGA-PBE.

Properties
formation energy without anion corrections: 0.6596 eV per atom
crystal system: orthorhombic
electronic total energy: -26.1 eV per cell
ΔE to the lowest computed polymorph: 443 meV/atom

a = 5.2983 Å, b = 5.2983 Å, c = 5.2983 Å
α = 149.09°, β = 127.77°, γ = 61.94°
With the nearest neighbours (Å) after each atom.
Element x y z (fractional)
Mn: 0.0000 0.0000 0.0000  2 Cl 2.61, 6 Ir 2.73-2.78, 2 Mn 2.82
Ir: 0.2638 0.7638 0.5000  4 Ir 2.68-2.82, 4 Cl 2.73, 2 Mn 2.78
Ir: 0.5144 0.5144 0.0000  2 Cl 2.63, 4 Ir 2.68-2.82, 4 Mn 2.73
Cl: 0.7586 0.2586 0.5000  2 Mn 2.61, 6 Ir 2.63-2.73, 2 Cl 2.82

=====

MnIr2Cl2: optimized geometry, GGA-PBE.

Properties
formation energy without anion corrections: 1.2822 eV per atom
crystal system: tetragonal
electronic total energy: -24.2 eV per cell

a = 5.9994 Å, b = 5.9994 Å, c = 5.9994 Å
α = 138.91°, β = 138.91°, γ = 59.52°
With the nearest neighbours (Å) after each atom.
Element x y z (fractional)
Mn: 0.0000 0.0000 0.0000  8 Cl 3.26, 8 Ir 3.35
Ir: 0.2500 0.7500 0.5000  4 Cl 2.47
Ir: 0.7500 0.2500 0.5000  4 Cl 2.47
Cl: 0.3735 0.3735 0.0000  4 Ir 2.47, 1 Cl 2.64
Cl: 0.6265 0.6265 0.0000  4 Ir 2.47, 1 Cl 2.64